No. 1
A relaxed IrRu3Rh4 crystal. Source: Alexandria, functional GGA-PBE.

Energy of formation from the pure elements   0.328 eV per atom
Relative energy among the computed polymorphs   53 meV/atom
M_tot   0.48 μB per formula unit
DOS at the Fermi energy   13.08 states/eV/cell

a = 2.691 Å, b = 7.237 Å, c = 9.338 Å
α = 137.29°, β = 98.28°, γ = 90.00°
Each line ends with the local moment (μB).
Fractional coordinates of all 8 atoms:
Ir 0.000 0.000 0.000  0.02
Rh 0.175 0.971 0.351  0.05
Ru 0.674 0.275 0.348  0.00
Ru 0.500 0.500 0.000  0.31
Rh 0.825 0.029 0.649  0.05
Ru 0.326 0.725 0.652  0.00
Rh 0.863 0.463 0.726  0.02
Rh 0.137 0.537 0.274  0.02

No. 2
A relaxed LaY2As4 crystal. Source: Alexandria, functional GGA-PBE.

Energy of formation from the pure elements   -0.479 eV per atom
M_tot   0.00 μB per formula unit
DOS at the Fermi energy   2.67 states/eV/cell

a = 5.474 Å, b = 5.474 Å, c = 8.336 Å
α = 70.83°, β = 70.83°, γ = 90.00°
Fractional coordinates of all 7 atoms:
As 0.205 0.205 0.590
As 0.500 0.000 0.000
Y 0.389 0.389 0.223
As 0.795 0.795 0.410
Y 0.611 0.611 0.777
La 0.000 0.000 0.000
As 0.000 0.500 0.000

No. 3
A relaxed Bi2TeO4 crystal. Source: Alexandria, functional GGA-PBE.

Formation energy without anion corrections   -0.828 eV/atom
M_tot   0.00 μB per formula unit

a = 7.173 Å, b = 5.066 Å, c = 8.688 Å
α = 90.00°, β = 91.37°, γ = 90.00°
Fractional coordinates of all 14 atoms:
O 0.460 0.005 0.847
Bi 0.833 0.750 0.452
O 0.878 0.250 0.482
Bi 0.333 0.250 0.045
O 0.269 0.250 0.324
Bi 0.667 0.750 0.955
O 0.460 0.495 0.847
O 0.731 0.750 0.676
Te 0.376 0.750 0.287
O 0.122 0.750 0.518
O 0.540 0.995 0.153
Te 0.624 0.250 0.713
Bi 0.167 0.250 0.548
O 0.540 0.505 0.153

No. 4
A relaxed Tc2AgW crystal. Source: Alexandria, functional GGA-PBE.

Energy of formation from the pure elements   0.966 eV per atom
Relative energy among the computed polymorphs   672 meV/atom
M_tot   0.00 μB per formula unit
DOS at the Fermi energy   9.53 states/eV/cell

a = 7.178 Å, b = 7.178 Å, c = 5.755 Å
α = 51.42°, β = 51.42°, γ = 90.00°
Fractional coordinates of all 8 atoms:
Ag 0.250 0.750 0.500
Tc 0.875 0.908 0.750
Ag 0.500 0.500 0.000
Tc 0.375 0.342 0.750
W 0.750 0.250 0.500
Tc 0.092 0.625 0.250
Tc 0.658 0.125 0.250
W 0.000 0.000 0.000

no.,E (eV per cell)
1,-63.47
2,-39.81
3,-73.07
4,-65.34